No. 1
This record from Alexandria describes a relaxed structure of CsTe2Se. The functional is PBE.

Structure (extended XYZ):
```
16
Lattice="7.6357 0.0000 0.0000 0.0000 7.6357 0.0000 0.0000 0.0000 14.7044" Properties=species:S:1:pos:R:3 pbc="T T T"
Cs 0.0000 0.0000 0.0000
Cs 0.0000 3.8178 3.6761
Cs 3.8178 0.0000 11.0283
Cs 3.8178 3.8178 7.3522
Te 0.8159 1.9089 9.1902
Te 1.9089 4.6337 12.8663
Te 1.9089 6.8198 5.5141
Te 3.0019 1.9089 1.8380
Te 4.6337 5.7267 1.8380
Te 5.7267 0.8159 5.5141
Te 5.7267 3.0019 12.8663
Te 6.8198 5.7267 9.1902
Se 0.0000 0.0000 7.3522
Se 0.0000 3.8178 11.0283
Se 3.8178 0.0000 3.6761
Se 3.8178 3.8178 0.0000
```

Calculated values
- total magnetic moment (μB/f.u.) = 0.00

No. 2
This record from Alexandria describes a relaxed structure of CsTeSe3. The functional is PBE.

Structure (extended XYZ):
```
5
Lattice="5.8370 0.0000 0.0000 0.0000 5.8370 0.0000 0.0000 0.0000 5.8370" Properties=species:S:1:pos:R:3 pbc="T T T"
Cs 0.0000 0.0000 0.0000
Te 2.9185 2.9185 2.9185
Se 0.0000 0.0000 2.9185
Se 0.0000 2.9185 0.0000
Se 2.9185 0.0000 0.0000
```

Calculated values
- total magnetic moment (μB/f.u.) = 0.01

No. 3
This record from Alexandria describes a relaxed structure of CsTe4Se2. The functional is PBE.

Structure (extended XYZ):
```
14
Lattice="7.4190 0.0000 0.0000 -0.5076 8.9017 0.0000 -3.0987 -2.9951 8.6817" Properties=species:S:1:pos:R:3 pbc="T T T"
Cs 0.0000 0.0000 0.0000
Cs 0.2379 4.5669 5.3498
Te -1.6680 1.4187 7.1258
Te 1.1346 5.2837 1.0933
Te 1.6308 0.6506 4.8656
Te 0.9459 -0.1214 7.4634
Te 3.9006 0.5163 1.6915
Te 4.5004 4.0715 1.9282
Te 3.9682 4.8426 4.6110
Te 5.0023 -0.4620 4.1136
Se -0.4650 3.2408 1.9905
Se 0.0595 -1.1040 3.5739
Se 3.0311 7.3845 0.2052
Se 3.4071 2.8382 6.1939
```

Calculated values
- total magnetic moment (μB/f.u.) = 0.00

No. 4
This record from Alexandria describes a relaxed structure of Cs3Te2Se5. The functional is PBE.

Structure (extended XYZ):
```
20
Lattice="-4.1541 10.2650 4.9240 4.1541 -10.2650 4.9240 4.1541 10.2650 -4.9240" Properties=species:S:1:pos:R:3 pbc="T T T"
Cs 5.2090 3.4145 0.0000
Cs 0.0000 0.0000 2.4620
Cs 1.0549 6.8506 0.0000
Cs 3.0992 3.4145 4.9240
Cs 0.0000 0.0000 7.3860
Cs -1.0549 6.8506 4.9240
Te 0.8066 2.9459 0.0000
Te 4.9608 7.3192 0.0000
Te -0.8066 2.9459 4.9240
Te 3.3475 7.3192 4.9240
Se 3.0361 0.5085 0.0000
Se 4.1541 6.4396 -2.4620
Se 4.1541 0.0000 2.4620
Se 0.0000 3.8254 2.4620
Se 3.0361 -0.5085 4.9240
Se 1.1180 10.7735 0.0000
Se 4.1541 6.4396 2.4620
Se 0.0000 10.2650 2.4620
Se 0.0000 3.8254 7.3860
Se 1.1180 9.7565 4.9240
```

Calculated values
- total magnetic moment (μB/f.u.) = 0.00

No. 5
This record from Alexandria describes a relaxed structure of CsTe2Se2. The functional is PBE.

Structure (extended XYZ):
```
10
Lattice="4.7606 0.0000 0.0000 0.0000 4.7606 0.0000 0.0000 0.0000 14.8952" Properties=species:S:1:pos:R:3 pbc="T T T"
Cs 0.0000 0.0000 0.0000
Cs 2.3803 2.3803 7.4476
Te 0.0000 2.3803 3.7238
Te 0.0000 2.3803 11.1714
Te 2.3803 0.0000 3.7238
Te 2.3803 0.0000 11.1714
Se 0.0000 0.0000 6.2873
Se 0.0000 0.0000 8.6080
Se 2.3803 2.3803 1.1604
Se 2.3803 2.3803 13.7349
```

Calculated values
- total magnetic moment (μB/f.u.) = 0.00

No. 6
This record from Alexandria describes a relaxed structure of CsTe3Se3. The functional is PBE.

Structure (extended XYZ):
```
14
Lattice="8.3163 0.0000 0.0000 0.0000 8.3163 0.0000 0.0000 0.0000 8.3163" Properties=species:S:1:pos:R:3 pbc="T T T"
Cs 0.0000 0.0000 0.0000
Cs 4.1581 4.1581 4.1581
Te 0.0000 2.0791 4.1581
Te 0.0000 6.2372 4.1581
Te 2.0791 4.1581 0.0000
Te 4.1581 0.0000 2.0791
Te 4.1581 0.0000 6.2372
Te 6.2372 4.1581 0.0000
Se 0.0000 4.1581 2.0791
Se 0.0000 4.1581 6.2372
Se 2.0791 0.0000 4.1581
Se 4.1581 2.0791 0.0000
Se 4.1581 6.2372 0.0000
Se 6.2372 0.0000 4.1581
```

Calculated values
- total magnetic moment (μB/f.u.) = 0.00

Calculated calculated volume (Å³ per atom), listed in the same order as above: 53.6; 39.8; 41.0; 42.0; 33.8; 41.1
Calculated electronic total energy (Ry per atom), listed in the same order as above: -0.213; -0.121; -0.235; -0.233; -0.223; -0.213